# NaCrCoF6

A relaxed NaCrCoF6 crystal (PBE with a Hubbard U, Alexandria).

Calculated values
Electronic total energy: -5.3714 eV/atom
ρ: 3.43 Mg/m³
DOS(E_F): 0.00 states/eV/f.u.

a b c (Å): 5.3230 5.3230 9.7826
angles (deg): 90.00 90.00 120.00
Fractional positions:
Na  0.0000  0.0000  0.0000
Na  0.0000  0.0000  0.5000
Cr  0.3333  0.6667  0.2500
Cr  0.6667  0.3333  0.7500
Co  0.3333  0.6667  0.7500
Co  0.6667  0.3333  0.2500
F  0.0161  0.3666  0.1420
F  0.0161  0.6495  0.3580
F  0.3505  0.3666  0.3580
F  0.3505  0.9839  0.1420
F  0.3666  0.0161  0.6420
F  0.3666  0.3505  0.8580
F  0.6334  0.6495  0.1420
F  0.6334  0.9839  0.3580
F  0.6495  0.0161  0.8580
F  0.6495  0.6334  0.6420
F  0.9839  0.3505  0.6420
F  0.9839  0.6334  0.8580